No. 1
# LiSb2Mo, relaxed, DFT PBE-GGA
data_LiSb2Mo
_chemical_formula_sum 'Li1 Sb2 Mo1'
_cell_length_a 3.3796
_cell_length_b 3.3796
_cell_length_c 7.2090
_cell_angle_alpha 90.00
_cell_angle_beta 90.00
_cell_angle_gamma 90.00
_space_group_name_H-M_alt 'P 4/m m m'
_space_group_IT_number 123
_space_group_name_Hall '-P 4 2'
loop_
_atom_site_label
_atom_site_type_symbol
_atom_site_fract_x
_atom_site_fract_y
_atom_site_fract_z
_atom_site_occupancy
Li1 Li 0.0000 0.0000 0.0000 1
Sb1 Sb 0.5000 0.5000 0.2787 1
Mo1 Mo 0.0000 0.0000 0.5000 1
# Crystal system: tetragonal
# Mass density: 7.0 g/cm³
# Magnetization: 0.000 μB/atom
# Total DFT energy (no corrections): -21.4 eV for the cell shown
# V: 20.58 Å³ per atom
# Raw formation energy: -0.1021 eV per atom

***

No. 2
# LiSb2Mo, relaxed, DFT PBE-GGA
data_LiSb2Mo
_chemical_formula_sum 'Li4 Sb8 Mo4'
_cell_length_a 6.5522
_cell_length_b 6.5522
_cell_length_c 11.6838
_cell_angle_alpha 90.00
_cell_angle_beta 90.00
_cell_angle_gamma 90.00
_space_group_name_H-M_alt 'I -4 2 d'
_space_group_IT_number 122
_space_group_name_Hall 'I -4 2bw'
loop_
_atom_site_label
_atom_site_type_symbol
_atom_site_fract_x
_atom_site_fract_y
_atom_site_fract_z
_atom_site_occupancy
Li1 Li 0.0000 0.0000 0.0000 1
Sb1 Sb 0.2193 0.2500 0.6250 1
Mo1 Mo 0.0000 0.0000 0.5000 1
# Crystal system: tetragonal
# Mass density: 4.6 g/cm³
# Magnetization: 0.250 μB/atom
# Total DFT energy (no corrections): -77.1 eV for the cell shown
# V: 31.35 Å³ per atom
# Raw formation energy: 0.4256 eV per atom

***

No. 3
# LiSb2Mo, relaxed, DFT PBE-GGA
data_LiSb2Mo
_chemical_formula_sum 'Li2 Sb4 Mo2'
_cell_length_a 6.6585
_cell_length_b 6.6791
_cell_length_c 3.4473
_cell_angle_alpha 90.00
_cell_angle_beta 90.00
_cell_angle_gamma 90.00
_space_group_name_H-M_alt 'C m m m'
_space_group_IT_number 65
_space_group_name_Hall '-C 2 2'
loop_
_atom_site_label
_atom_site_type_symbol
_atom_site_fract_x
_atom_site_fract_y
_atom_site_fract_z
_atom_site_occupancy
Li1 Li 0.0000 0.0000 0.0000 1
Sb1 Sb 0.2500 0.2500 0.5000 1
Mo1 Mo 0.0000 0.5000 0.0000 1
# Crystal system: orthorhombic
# Mass density: 7.5 g/cm³
# Magnetization: 0.060 μB/atom
# Total DFT energy (no corrections): -40.8 eV for the cell shown
# V: 19.16 Å³ per atom
# Raw formation energy: 0.1435 eV per atom

***

No. 4
# LiSb2Mo, relaxed, DFT PBE-GGA
data_LiSb2Mo
_chemical_formula_sum 'Li2 Sb4 Mo2'
_cell_length_a 4.0105
_cell_length_b 4.9402
_cell_length_c 7.6817
_cell_angle_alpha 90.00
_cell_angle_beta 90.00
_cell_angle_gamma 90.00
_space_group_name_H-M_alt 'I m m m'
_space_group_IT_number 71
_space_group_name_Hall '-I 2 2'
loop_
_atom_site_label
_atom_site_type_symbol
_atom_site_fract_x
_atom_site_fract_y
_atom_site_fract_z
_atom_site_occupancy
Li1 Li 0.0000 0.0000 0.0000 1
Sb1 Sb 0.0000 0.5000 0.2659 1
Mo1 Mo 0.0000 0.0000 0.5000 1
# Crystal system: orthorhombic
# Mass density: 7.6 g/cm³
# Magnetization: 0.000 μB/atom
# Total DFT energy (no corrections): -41.4 eV for the cell shown
# V: 19.02 Å³ per atom
# Raw formation energy: 0.0706 eV per atom

***

No. 5
# LiSb2Mo, relaxed, DFT PBE-GGA
data_LiSb2Mo
_chemical_formula_sum 'Li2 Sb4 Mo2'
_cell_length_a 3.3790
_cell_length_b 3.7047
_cell_length_c 14.3493
_cell_angle_alpha 90.00
_cell_angle_beta 90.00
_cell_angle_gamma 90.00
_space_group_name_H-M_alt 'I m m 2'
_space_group_IT_number 44
_space_group_name_Hall 'I 2 -2'
loop_
_atom_site_label
_atom_site_type_symbol
_atom_site_fract_x
_atom_site_fract_y
_atom_site_fract_z
_atom_site_occupancy
Li1 Li 0.0000 0.0000 0.0000 1
Sb1 Sb 0.0000 0.0000 0.3875 1
Sb2 Sb 0.0000 0.5000 0.1582 1
Mo1 Mo 0.0000 0.5000 0.7395 1
# Crystal system: orthorhombic
# Mass density: 6.4 g/cm³
# Magnetization: 0.000 μB/atom
# Total DFT energy (no corrections): -41.8 eV for the cell shown
# V: 22.45 Å³ per atom
# Raw formation energy: 0.0188 eV per atom

***

No. 6
# LiSb2Mo, relaxed, DFT PBE-GGA
data_LiSb2Mo
_chemical_formula_sum 'Li2 Sb4 Mo2'
_cell_length_a 8.6771
_cell_length_b 3.3724
_cell_length_c 5.8557
_cell_angle_alpha 90.00
_cell_angle_beta 102.56
_cell_angle_gamma 90.00
_space_group_name_H-M_alt 'C 1 2/m 1'
_space_group_IT_number 12
_space_group_name_Hall '-C 2y'
loop_
_atom_site_label
_atom_site_type_symbol
_atom_site_fract_x
_atom_site_fract_y
_atom_site_fract_z
_atom_site_occupancy
Li1 Li 0.0000 0.0000 0.0000 1
Sb1 Sb 0.2391 0.0000 0.7227 1
Mo1 Mo 0.0000 0.5000 0.5000 1
# Crystal system: monoclinic
# Mass density: 6.9 g/cm³
# Magnetization: 0.000 μB/atom
# Total DFT energy (no corrections): -41.4 eV for the cell shown
# V: 20.91 Å³ per atom
# Raw formation energy: 0.0710 eV per atom

***

No. 7
# LiSb2Mo, relaxed, DFT PBE-GGA
data_LiSb2Mo
_chemical_formula_sum 'Li2 Sb4 Mo2'
_cell_length_a 3.7125
_cell_length_b 5.2714
_cell_length_c 8.5450
_cell_angle_alpha 90.00
_cell_angle_beta 90.00
_cell_angle_gamma 90.00
_space_group_name_H-M_alt 'C m m m'
_space_group_IT_number 65
_space_group_name_Hall '-C 2 2'
loop_
_atom_site_label
_atom_site_type_symbol
_atom_site_fract_x
_atom_site_fract_y
_atom_site_fract_z
_atom_site_occupancy
Li1 Li 0.0000 0.0000 0.0000 1
Sb1 Sb 0.0000 0.5000 0.2633 1
Mo1 Mo 0.0000 0.0000 0.5000 1
# Crystal system: orthorhombic
# Mass density: 6.9 g/cm³
# Magnetization: 0.000 μB/atom
# Total DFT energy (no corrections): -41.0 eV for the cell shown
# V: 20.90 Å³ per atom
# Raw formation energy: 0.1222 eV per atom

***

No. 8
# LiSb2Mo, relaxed, DFT PBE-GGA
data_LiSb2Mo
_chemical_formula_sum 'Li2 Sb4 Mo2'
_cell_length_a 4.0337
_cell_length_b 4.0337
_cell_length_c 9.7282
_cell_angle_alpha 90.00
_cell_angle_beta 90.00
_cell_angle_gamma 90.00
_space_group_name_H-M_alt 'I -4 m 2'
_space_group_IT_number 119
_space_group_name_Hall 'I -4 -2'
loop_
_atom_site_label
_atom_site_type_symbol
_atom_site_fract_x
_atom_site_fract_y
_atom_site_fract_z
_atom_site_occupancy
Li1 Li 0.0000 0.0000 0.0000 1
Sb1 Sb 0.0000 0.0000 0.5000 1
Sb2 Sb 0.0000 0.5000 0.2500 1
Mo1 Mo 0.0000 0.5000 0.7500 1
# Crystal system: tetragonal
# Mass density: 7.3 g/cm³
# Magnetization: 0.309 μB/atom
# Total DFT energy (no corrections): -40.4 eV for the cell shown
# V: 19.79 Å³ per atom
# Raw formation energy: 0.1923 eV per atom

***

No. 9
# LiSb2Mo, relaxed, DFT PBE-GGA
data_LiSb2Mo
_chemical_formula_sum 'Li4 Sb8 Mo4'
_cell_length_a 6.7915
_cell_length_b 6.7915
_cell_length_c 6.7915
_cell_angle_alpha 90.00
_cell_angle_beta 90.00
_cell_angle_gamma 90.00
_space_group_name_H-M_alt 'F m -3 m'
_space_group_IT_number 225
_space_group_name_Hall '-F 4 2 3'
loop_
_atom_site_label
_atom_site_type_symbol
_atom_site_fract_x
_atom_site_fract_y
_atom_site_fract_z
_atom_site_occupancy
Li1 Li 0.0000 0.0000 0.0000 1
Sb1 Sb 0.2500 0.2500 0.2500 1
Mo1 Mo 0.0000 0.0000 0.5000 1
# Crystal system: cubic
# Mass density: 7.3 g/cm³
# Magnetization: 0.261 μB/atom
# Total DFT energy (no corrections): -82.6 eV for the cell shown
# V: 19.58 Å³ per atom
# Raw formation energy: 0.0878 eV per atom

***

No. 10
# Sr2LiSbMo, relaxed, DFT PBE-GGA
data_Sr2LiSbMo
_chemical_formula_sum 'Sr2 Li1 Sb1 Mo1'
_cell_length_a 6.3457
_cell_length_b 6.3457
_cell_length_c 5.1944
_cell_angle_alpha 90.00
_cell_angle_beta 90.00
_cell_angle_gamma 90.00
_space_group_name_H-M_alt 'P 4/m m m'
_space_group_IT_number 123
_space_group_name_Hall '-P 4 2'
loop_
_atom_site_label
_atom_site_type_symbol
_atom_site_fract_x
_atom_site_fract_y
_atom_site_fract_z
_atom_site_occupancy
Sr1 Sr 0.0000 0.5000 0.0000 1
Li1 Li 0.0000 0.0000 0.5000 1
Sb1 Sb 0.5000 0.5000 0.0000 1
Mo1 Mo 0.5000 0.5000 0.5000 1
# Crystal system: tetragonal
# Mass density: 3.2 g/cm³
# Magnetization: 0.683 μB/atom
# Total DFT energy (no corrections): -17.9 eV for the cell shown
# V: 41.83 Å³ per atom
# Raw formation energy: 0.4615 eV per atom

***

No. 11
# LiTcSbMo, relaxed, DFT PBE-GGA
data_LiTcSbMo
_chemical_formula_sum 'Li4 Tc4 Sb4 Mo4'
_cell_length_a 6.2853
_cell_length_b 6.2853
_cell_length_c 6.2853
_cell_angle_alpha 90.00
_cell_angle_beta 90.00
_cell_angle_gamma 90.00
_space_group_name_H-M_alt 'F -4 3 m'
_space_group_IT_number 216
_space_group_name_Hall 'F -4 2 3'
loop_
_atom_site_label
_atom_site_type_symbol
_atom_site_fract_x
_atom_site_fract_y
_atom_site_fract_z
_atom_site_occupancy
Li1 Li 0.0000 0.0000 0.0000 1
Tc1 Tc 0.0000 0.0000 0.5000 1
Sb1 Sb 0.2500 0.2500 0.2500 1
Mo1 Mo 0.2500 0.2500 0.7500 1
# Crystal system: cubic
# Mass density: 8.6 g/cm³
# Magnetization: 0.000 μB/atom
# Total DFT energy (no corrections): -109.8 eV for the cell shown
# V: 15.52 Å³ per atom
# Raw formation energy: -0.0539 eV per atom

***

No. 12
# LiSc2Mo, relaxed, DFT PBE-GGA
data_LiSc2Mo
_chemical_formula_sum 'Li2 Sc4 Mo2'
_cell_length_a 10.3217
_cell_length_b 3.0309
_cell_length_c 5.0720
_cell_angle_alpha 90.00
_cell_angle_beta 104.86
_cell_angle_gamma 90.00
_space_group_name_H-M_alt 'C 1 m 1'
_space_group_IT_number 8
_space_group_name_Hall 'C -2y'
loop_
_atom_site_label
_atom_site_type_symbol
_atom_site_fract_x
_atom_site_fract_y
_atom_site_fract_z
_atom_site_occupancy
Li1 Li 0.0000 0.0000 0.0000 1
Sc1 Sc 0.0413 0.5000 0.5366 1
Sc2 Sc 0.2544 0.5000 0.1643 1
Mo1 Mo 0.2861 0.0000 0.6743 1
# Crystal system: monoclinic
# Energy of formation from the pure elements: 20.57 kJ/mol of atoms
# Mass density: 4.2 g/cm³
# Magnetization: 0.000 μB/atom
# Total DFT energy (no corrections): -49.1 eV for the cell shown
# V: 19.17 Å³ per atom

***

Copy entry 6 word for word.
# LiSb2Mo, relaxed, DFT PBE-GGA
data_LiSb2Mo
_chemical_formula_sum 'Li2 Sb4 Mo2'
_cell_length_a 8.6771
_cell_length_b 3.3724
_cell_length_c 5.8557
_cell_angle_alpha 90.00
_cell_angle_beta 102.56
_cell_angle_gamma 90.00
_space_group_name_H-M_alt 'C 1 2/m 1'
_space_group_IT_number 12
_space_group_name_Hall '-C 2y'
loop_
_atom_site_label
_atom_site_type_symbol
_atom_site_fract_x
_atom_site_fract_y
_atom_site_fract_z
_atom_site_occupancy
Li1 Li 0.0000 0.0000 0.0000 1
Sb1 Sb 0.2391 0.0000 0.7227 1
Mo1 Mo 0.0000 0.5000 0.5000 1
# Crystal system: monoclinic
# Mass density: 6.9 g/cm³
# Magnetization: 0.000 μB/atom
# Total DFT energy (no corrections): -41.4 eV for the cell shown
# V: 20.91 Å³ per atom
# Raw formation energy: 0.0710 eV per atom

***

Please write out number 1 again, unchanged.
# LiSb2Mo, relaxed, DFT PBE-GGA
data_LiSb2Mo
_chemical_formula_sum 'Li1 Sb2 Mo1'
_cell_length_a 3.3796
_cell_length_b 3.3796
_cell_length_c 7.2090
_cell_angle_alpha 90.00
_cell_angle_beta 90.00
_cell_angle_gamma 90.00
_space_group_name_H-M_alt 'P 4/m m m'
_space_group_IT_number 123
_space_group_name_Hall '-P 4 2'
loop_
_atom_site_label
_atom_site_type_symbol
_atom_site_fract_x
_atom_site_fract_y
_atom_site_fract_z
_atom_site_occupancy
Li1 Li 0.0000 0.0000 0.0000 1
Sb1 Sb 0.5000 0.5000 0.2787 1
Mo1 Mo 0.0000 0.0000 0.5000 1
# Crystal system: tetragonal
# Mass density: 7.0 g/cm³
# Magnetization: 0.000 μB/atom
# Total DFT energy (no corrections): -21.4 eV for the cell shown
# V: 20.58 Å³ per atom
# Raw formation energy: -0.1021 eV per atom

***

Look up the total DFT energy (no corrections) of the ninth one. -82.6 eV for the cell shown

***

Repeat the first record exactly.
# LiSb2Mo, relaxed, DFT PBE-GGA
data_LiSb2Mo
_chemical_formula_sum 'Li1 Sb2 Mo1'
_cell_length_a 3.3796
_cell_length_b 3.3796
_cell_length_c 7.2090
_cell_angle_alpha 90.00
_cell_angle_beta 90.00
_cell_angle_gamma 90.00
_space_group_name_H-M_alt 'P 4/m m m'
_space_group_IT_number 123
_space_group_name_Hall '-P 4 2'
loop_
_atom_site_label
_atom_site_type_symbol
_atom_site_fract_x
_atom_site_fract_y
_atom_site_fract_z
_atom_site_occupancy
Li1 Li 0.0000 0.0000 0.0000 1
Sb1 Sb 0.5000 0.5000 0.2787 1
Mo1 Mo 0.0000 0.0000 0.5000 1
# Crystal system: tetragonal
# Mass density: 7.0 g/cm³
# Magnetization: 0.000 μB/atom
# Total DFT energy (no corrections): -21.4 eV for the cell shown
# V: 20.58 Å³ per atom
# Raw formation energy: -0.1021 eV per atom